First-principles (GGA-PBE) data for a geometry-optimized Pr3Th2Pb3 structure, as listed in Alexandria.

Values from the calculation:
Mass density ... 9.5 Mg/m³
Total energy ... -87.55 eV/cell
Crystal system ... hexagonal
Density of states at the Fermi level ... 21.1 states/eV/cell
Symmetry ... P6_3/mcm

Geometry as POSCAR:
```
Pr3Th2Pb3
1.0
9.582 0.000 0.000
-4.791 8.298 0.000
0.000 0.000 6.634
Pr Th Pb
6 4 6
Cartesian
-1.182 2.047 1.659 Pr
-3.609 6.251 4.976 Pr
2.364 0.000 1.659 Pr
1.182 2.047 4.976 Pr
7.218 0.000 4.976 Pr
3.609 6.251 1.659 Pr
0.000 5.532 0.000 Th
0.000 5.532 3.317 Th
4.791 2.766 0.000 Th
4.791 2.766 3.317 Th
-1.859 3.221 4.976 Pb
-2.932 5.078 1.659 Pb
3.719 0.000 4.976 Pb
1.859 3.221 1.659 Pb
5.864 0.000 1.659 Pb
2.932 5.078 4.976 Pb
```